DFT (PBE) results for crystalline InCo2B at its relaxed geometry.

- Formation enthalpy at 0 K: 0.613 eV per atom
- DOS at the Fermi energy: 8.1 states/eV per cell
- SG: I-42d

abc: 5.008 5.008 6.084
angles: 65.69 65.69 90.00
Element x y z (fractional)
Co1 0.875 0.735 0.750
Co2 0.485 0.125 0.250
B1 0.250 0.750 0.500
In1 0.000 0.000 0.000
B2 0.500 0.500 0.000
Co3 0.265 0.625 0.250
Co4 0.375 0.515 0.750
In2 0.750 0.250 0.500